## LaCdRe2 (GGA-PBE)

Data for a relaxed LaCdRe2 crystal.

Cell lengths 6.6444, 8.0202, 4.2319 Å; angles 90.00, 129.40, 90.00 degrees
Closest atoms and distances in Å follow each position.
Space group C2 (No. 5)
Symmetry-distinct sites (fractional):
La1 0.0000 0.0000 0.0000 [2 per cell]  8 Re 3.08-3.37, 4 Cd 3.10-3.11
Cd1 0.0000 0.7158 0.5000 [2 per cell]  8 Re 3.07-3.37, 4 La 3.10-3.11
Re1 0.0000 0.2794 0.5000 [2 per cell]  2 Re 2.47
Re2 0.0000 0.4378 0.0000 [2 per cell]  2 Re 2.47

Summary:
Energy   -28.7 eV/f.u.
Total magnetization   0.000 μB/atom
ρ   11.89 g/cm³